Computed, not measured: an optimized crystal structure of TlVGe3 at the GGA-PBE level of DFT.

Results
ΔH_f (0 K) (kJ per mole of atoms): 13.9
Volume (A^3/atom): 22.69

Cell and atoms, written as extended XYZ:
```
5
Lattice="-1.289 -3.075 -3.510 0.804 -3.734 2.975 -4.597 0.209 1.504" Properties=species:S:1:pos:R:3 pbc="T T T"
Tl -2.541 -3.299 0.485
V 0.000 0.000 0.000
Ge 0.402 -1.867 1.488
Ge -2.298 0.105 0.752
Ge -0.644 -1.537 -1.755
```